MnFe2CoN (PBE, optimized geometry); formation energy without anion corrections = -0.04 eV/atom; crystal system = tetragonal
1.0
3.7932 0.0000 0.0000
0.0000 3.7932 0.0000
0.0000 0.0000 3.7495
Mn Fe Co N
1 2 1 1
Direct
0.0000 0.0000 0.0000
0.0000 0.5000 0.5000
0.5000 0.0000 0.5000
0.5000 0.5000 0.0000
0.0000 0.0000 0.5000

=====

LaMnAg2 (PBE, optimized geometry); calculated formation energy = 0.338 eV/atom; crystal system = trigonal
1.0
1.6042 0.9262 9.7831
-1.6042 0.9262 9.7831
0.0000 -1.8523 9.7831
La Mn Ag
1 1 2
Direct
0.0000 0.0000 0.0000
0.7581 0.7581 0.7581
0.2393 0.2393 0.2393
0.4958 0.4958 0.4958

=====

K2Sb2S (PBE, optimized geometry); formation energy without anion corrections = -0.25 eV/atom; crystal system = tetragonal
1.0
7.6251 0.0000 0.0000
0.0000 7.6251 0.0000
0.0000 0.0000 5.5910
K Sb S
4 4 2
Direct
0.1723 0.3277 0.0000
0.3277 0.8277 0.0000
0.6723 0.1723 0.0000
0.8277 0.6723 0.0000
0.1373 0.6373 0.5000
0.3627 0.1373 0.5000
0.6373 0.8627 0.5000
0.8627 0.3627 0.5000
0.0000 0.0000 0.5000
0.5000 0.5000 0.5000

=====

RbPr2SnO5 (PBE, optimized geometry); formation energy without anion corrections = -2.25 eV/atom; crystal system = tetragonal
1.0
6.9894 0.0000 0.0000
0.0000 6.9894 0.0000
0.0000 0.0000 6.2822
Rb Pr Sn O
2 4 2 10
Direct
0.0000 0.0000 0.0000
0.5000 0.5000 0.0000
0.1783 0.3217 0.5000
0.3217 0.8217 0.5000
0.6783 0.1783 0.5000
0.8217 0.6783 0.5000
0.0000 0.5000 0.0000
0.5000 0.0000 0.0000
0.0000 0.0000 0.5000
0.1378 0.6378 0.2600
0.1378 0.6378 0.7400
0.3622 0.1378 0.2600
0.3622 0.1378 0.7400
0.5000 0.5000 0.5000
0.6378 0.8622 0.2600
0.6378 0.8622 0.7400
0.8622 0.3622 0.2600
0.8622 0.3622 0.7400

=====

How do the records compare in theoretical density? In the order shown, they have 7.374 7.799 3.614 6.125 Mg/m³.
How do the records compare in spin magnetization? In the order shown, they have 8.521 3.903 0.000 1.766 Bohr magnetons per cell.